{"formula": "GaHg2Pd", "functional": "PBE", "state": "relaxed", "cell": [[2.9579, 0.1591, 3.7937], [-1.8062, 0.0029, 4.4615], [0.5209, -3.8731, 2.8097]], "species": ["Ga", "Hg", "Hg", "Pd"], "frac_coords": [[0.5000, 0.5000, 0.5000], [0.7500, 0.7500, 0.7500], [0.0000, 0.0000, 0.0000], [0.2500, 0.2500, 0.2500]], "dft_energy_ev_per_atom": -2.185}